The following is a PBE-GGA calculation of a geometry-optimized PrLuAg2 structure, from Alexandria.

Values from the calculation:
crystal system	cubic
DOS at the Fermi energy	1.01	states/eV/atom
distance to the lowest polymorph of the same formula	0.0302	eV per atom
energy	-4.021	eV per atom
formation enthalpy at 0 K	-6.228	kcal/mol of atoms

Cell lengths 5.2106, 5.2106, 5.2106 Å; angles 60.00, 60.00, 60.00 degrees
Fractional positions:
Ag 0.7500 0.7500 0.7500
Ag 0.2500 0.2500 0.2500
Lu 0.5000 0.5000 0.5000
Pr 0.0000 0.0000 0.0000